# 1
Material: SrHfS2Cl
Method: DFT, GGA-PBE
State: optimized geometry

Summary:
Fermi-level density of states in states/eV per atom: 0.994
Polymorph energy (0 for the lowest one) in kJ/mol of atoms: 157.3
Formation energy (no corrections) in eV/atom: 0.03

Geometry as extended XYZ:
```
5
Lattice="5.458 0.000 0.000 0.000 5.458 0.000 0.000 0.000 5.121" Properties=species:S:1:pos:R:3 pbc="T T T"
Sr 0.000 0.000 0.000
Hf 2.729 2.729 2.561
S 0.000 2.729 0.000
S 2.729 0.000 0.000
Cl 0.000 0.000 2.561
```

---

# 2
Material: HfTaSCl2
Method: DFT, GGA-PBE
State: optimized geometry

Summary:
Fermi-level density of states in states/eV per atom: 1.447
Polymorph energy (0 for the lowest one) in kJ/mol of atoms: 0.0
Formation energy (no corrections) in eV/atom: 0.21

Geometry as extended XYZ:
```
5
Lattice="4.878 0.000 0.000 0.000 4.878 0.000 0.000 0.000 5.036" Properties=species:S:1:pos:R:3 pbc="T T T"
Hf 0.000 0.000 0.000
Ta 2.439 2.439 2.518
S 0.000 0.000 2.518
Cl 0.000 2.439 0.000
Cl 2.439 0.000 0.000
```

---

# 3
Material: HfTaSCl2
Method: DFT, GGA-PBE
State: optimized geometry

Summary:
Fermi-level density of states in states/eV per atom: 1.244
Polymorph energy (0 for the lowest one) in kJ/mol of atoms: 3.4
Formation energy (no corrections) in eV/atom: 0.24

Geometry as extended XYZ:
```
5
Lattice="4.805 0.000 0.000 0.000 4.805 0.000 0.000 0.000 4.824" Properties=species:S:1:pos:R:3 pbc="T T T"
Hf 0.000 0.000 0.000
Ta 2.402 2.402 2.412
S 2.402 2.402 0.000
Cl 0.000 2.402 2.412
Cl 2.402 0.000 2.412
```

---

# 4
Material: HfTcSCl2
Method: DFT, GGA-PBE
State: optimized geometry

Summary:
Fermi-level density of states in states/eV per atom: 1.362
Polymorph energy (0 for the lowest one) in kJ/mol of atoms: 37.9
Formation energy (no corrections) in eV/atom: 0.40

Geometry as extended XYZ:
```
5
Lattice="4.694 0.000 0.000 0.000 4.694 0.000 0.000 0.000 4.631" Properties=species:S:1:pos:R:3 pbc="T T T"
Hf 0.000 0.000 0.000
Tc 2.347 2.347 2.316
S 2.347 2.347 0.000
Cl 0.000 2.347 2.316
Cl 2.347 0.000 2.316
```

---

# 5
Material: HfTcSCl2
Method: DFT, GGA-PBE
State: optimized geometry

Summary:
Fermi-level density of states in states/eV per atom: 1.234
Polymorph energy (0 for the lowest one) in kJ/mol of atoms: 0.0
Formation energy (no corrections) in eV/atom: 0.01

Geometry as extended XYZ:
```
5
Lattice="4.956 0.000 0.000 0.000 4.956 0.000 0.000 0.000 4.962" Properties=species:S:1:pos:R:3 pbc="T T T"
Hf 0.000 0.000 0.000
Tc 2.478 2.478 2.481
S 0.000 0.000 2.481
Cl 0.000 2.478 0.000
Cl 2.478 0.000 0.000
```

---

# 6
Material: HfTeSCl2
Method: DFT, GGA-PBE
State: optimized geometry

Summary:
Fermi-level density of states in states/eV per atom: 0.623
Polymorph energy (0 for the lowest one) in kJ/mol of atoms: 0.0
Formation energy (no corrections) in eV/atom: -0.65

Geometry as extended XYZ:
```
5
Lattice="5.095 0.000 0.000 0.000 5.095 0.000 0.000 0.000 4.950" Properties=species:S:1:pos:R:3 pbc="T T T"
Hf 0.000 0.000 0.000
Te 2.548 2.548 2.475
S 0.000 0.000 2.475
Cl 0.000 2.548 0.000
Cl 2.548 0.000 0.000
```

---

# 7
Material: HfTeSCl2
Method: DFT, GGA-PBE
State: optimized geometry

Summary:
Fermi-level density of states in states/eV per atom: 1.382
Polymorph energy (0 for the lowest one) in kJ/mol of atoms: 129.4
Formation energy (no corrections) in eV/atom: 0.69

Geometry as extended XYZ:
```
5
Lattice="5.300 0.000 0.000 0.000 5.300 0.000 0.000 0.000 5.270" Properties=species:S:1:pos:R:3 pbc="T T T"
Hf 0.000 0.000 0.000
Te 2.650 2.650 2.635
S 2.650 2.650 0.000
Cl 0.000 2.650 2.635
Cl 2.650 0.000 2.635
```

---

# 8
Material: HfTlSCl2
Method: DFT, GGA-PBE
State: optimized geometry

Summary:
Fermi-level density of states in states/eV per atom: 1.067
Polymorph energy (0 for the lowest one) in kJ/mol of atoms: 153.9
Formation energy (no corrections) in eV/atom: 0.46

Geometry as extended XYZ:
```
5
Lattice="5.296 0.000 0.000 0.000 5.296 0.000 0.000 0.000 5.187" Properties=species:S:1:pos:R:3 pbc="T T T"
Hf 0.000 0.000 0.000
Tl 2.648 2.648 2.594
S 2.648 2.648 0.000
Cl 0.000 2.648 2.594
Cl 2.648 0.000 2.594
```

---

# 9
Material: HfTlSCl2
Method: DFT, GGA-PBE
State: optimized geometry

Summary:
Fermi-level density of states in states/eV per atom: 0.333
Polymorph energy (0 for the lowest one) in kJ/mol of atoms: 0.0
Formation energy (no corrections) in eV/atom: -1.14

Geometry as extended XYZ:
```
5
Lattice="5.056 0.000 0.000 0.000 5.056 0.000 0.000 0.000 4.980" Properties=species:S:1:pos:R:3 pbc="T T T"
Hf 0.000 0.000 0.000
Tl 2.528 2.528 2.490
S 0.000 0.000 2.490
Cl 0.000 2.528 0.000
Cl 2.528 0.000 0.000
```

---

# 10
Material: HfVS2Cl
Method: DFT, GGA-PBE
State: optimized geometry

Summary:
Fermi-level density of states in states/eV per atom: 1.338
Polymorph energy (0 for the lowest one) in kJ/mol of atoms: 0.0
Formation energy (no corrections) in eV/atom: -0.41

Geometry as extended XYZ:
```
5
Lattice="4.948 0.000 0.000 0.000 4.948 0.000 0.000 0.000 4.862" Properties=species:S:1:pos:R:3 pbc="T T T"
Hf 0.000 0.000 0.000
V 2.474 2.474 2.431
S 0.000 2.474 0.000
S 2.474 0.000 0.000
Cl 0.000 0.000 2.431
```

---

# 11
Material: HfVS2Cl
Method: DFT, GGA-PBE
State: optimized geometry

Summary:
Fermi-level density of states in states/eV per atom: 0.983
Polymorph energy (0 for the lowest one) in kJ/mol of atoms: 23.8
Formation energy (no corrections) in eV/atom: -0.17

Geometry as extended XYZ:
```
5
Lattice="4.683 0.000 0.000 0.000 4.683 0.000 0.000 0.000 4.502" Properties=species:S:1:pos:R:3 pbc="T T T"
Hf 0.000 0.000 0.000
V 2.342 2.342 2.251
S 0.000 2.342 2.251
S 2.342 0.000 2.251
Cl 2.342 2.342 0.000
```

---

# 12
Material: HfW2SCl
Method: DFT, GGA-PBE
State: optimized geometry

Summary:
Fermi-level density of states in states/eV per atom: 1.164
Formation energy (no corrections) in eV/atom: 1.97

Geometry as extended XYZ:
```
5
Lattice="5.090 0.000 0.000 0.000 5.090 0.000 0.000 0.000 4.707" Properties=species:S:1:pos:R:3 pbc="T T T"
Hf 0.000 0.000 0.000
W 0.000 2.545 0.000
W 2.545 0.000 0.000
S 2.545 2.545 2.354
Cl 0.000 0.000 2.354
```

---

What is the Fermi-level density of states in the eighth record?
1.067 states/eV per atom